(A)
Density functional theory data (PBE) for an optimized crystal structure of Tb3Y4Sc.

Structure (CIF):
```
data_Tb3Y4Sc
_space_group_name_H-M_alt 'P 1'
_space_group_IT_number 1
_cell_length_a 6.235
_cell_length_b 7.229
_cell_length_c 11.183
_cell_angle_alpha 90.00
_cell_angle_beta 90.00
_cell_angle_gamma 90.00
loop_
_space_group_symop_operation_xyz
'x,y,z'
loop_
_atom_site_label
_atom_site_type_symbol
_atom_site_fract_x
_atom_site_fract_y
_atom_site_fract_z
Tb1 Tb 0.977 0.621 0.750
Y1 Y 0.143 0.873 0.500
Y2 Y 0.486 0.872 0.746
Y3 Y 0.643 0.127 0.000
Tb2 Tb 0.149 0.377 0.500
Y4 Y 0.986 0.128 0.754
Y5 Y 0.649 0.128 0.500
Tb3 Tb 0.649 0.623 0.000
Tb4 Tb 0.977 0.621 0.250
Sc1 Sc 0.148 0.376 0.000
Sc2 Sc 0.648 0.624 0.500
Tb5 Tb 0.477 0.379 0.250
Tb6 Tb 0.477 0.379 0.750
Y6 Y 0.986 0.128 0.246
Y7 Y 0.486 0.872 0.254
Y8 Y 0.149 0.872 0.000
```

## Properties
DOS at the Fermi energy: 14.4 states/eV/f.u.


(B)
Density functional theory data (PBE) for an optimized crystal structure of Tb3Y4Sc.

Structure (CIF):
```
data_Tb3Y4Sc
_space_group_name_H-M_alt 'P 1'
_space_group_IT_number 1
_cell_length_a 3.588
_cell_length_b 5.341
_cell_length_c 13.765
_cell_angle_alpha 101.19
_cell_angle_beta 97.40
_cell_angle_gamma 90.00
loop_
_space_group_symop_operation_xyz
'x,y,z'
loop_
_atom_site_label
_atom_site_type_symbol
_atom_site_fract_x
_atom_site_fract_y
_atom_site_fract_z
Y1 Y 0.595 0.596 0.192
Tb1 Tb 0.146 0.147 0.295
Y2 Y 0.405 0.404 0.808
Sc1 Sc 0.000 0.500 0.000
Tb2 Tb 0.854 0.853 0.705
Y3 Y 0.283 0.282 0.564
Tb3 Tb 0.500 0.000 0.000
Y4 Y 0.717 0.718 0.436
```

## Properties
DOS at the Fermi energy: 12.7 states/eV/f.u.


The least stable of them is (B).


(A)
Density functional theory data (PBE) for an optimized crystal structure of Tb2Y3Sc2.

Structure (CIF):
```
data_Tb2Y3Sc2
_space_group_name_H-M_alt 'P 1'
_space_group_IT_number 1
_cell_length_a 3.412
_cell_length_b 8.430
_cell_length_c 8.630
_cell_angle_alpha 118.52
_cell_angle_beta 101.40
_cell_angle_gamma 90.00
loop_
_space_group_symop_operation_xyz
'x,y,z'
loop_
_atom_site_label
_atom_site_type_symbol
_atom_site_fract_x
_atom_site_fract_y
_atom_site_fract_z
Tb1 Tb 0.141 0.312 0.281
Sc1 Sc 0.436 0.090 0.872
Sc2 Sc 0.564 0.910 0.128
Y1 Y 0.000 0.500 0.000
Y2 Y 0.212 0.805 0.424
Y3 Y 0.788 0.195 0.576
Tb2 Tb 0.859 0.688 0.719
```

## Properties
DOS at the Fermi energy: 12.3 states/eV/f.u.


(B)
Density functional theory data (PBE) for an optimized crystal structure of Tb2Y3Sc2.

Structure (CIF):
```
data_Tb2Y3Sc2
_space_group_name_H-M_alt 'P 1'
_space_group_IT_number 1
_cell_length_a 3.437
_cell_length_b 5.234
_cell_length_c 11.929
_cell_angle_alpha 77.33
_cell_angle_beta 90.02
_cell_angle_gamma 90.00
loop_
_space_group_symop_operation_xyz
'x,y,z'
loop_
_atom_site_label
_atom_site_type_symbol
_atom_site_fract_x
_atom_site_fract_y
_atom_site_fract_z
Tb1 Tb 0.500 0.285 0.429
Tb2 Tb 0.500 0.715 0.571
Y1 Y 0.500 0.425 0.151
Y2 Y 0.000 0.000 0.000
Sc1 Sc 0.000 0.849 0.302
Sc2 Sc 0.000 0.151 0.698
Y3 Y 0.500 0.575 0.849
```

## Properties
DOS at the Fermi energy: 13.9 states/eV/f.u.


The least stable of them is (A).


(A)
Density functional theory data (PBE) for an optimized crystal structure of Tb2Y6Sc.

Structure (CIF):
```
data_Tb2Y6Sc
_space_group_name_H-M_alt 'P 1'
_space_group_IT_number 1
_cell_length_a 6.827
_cell_length_b 10.463
_cell_length_c 10.463
_cell_angle_alpha 53.81
_cell_angle_beta 70.99
_cell_angle_gamma 70.99
loop_
_space_group_symop_operation_xyz
'x,y,z'
loop_
_atom_site_label
_atom_site_type_symbol
_atom_site_fract_x
_atom_site_fract_y
_atom_site_fract_z
Y1 Y 0.015 0.660 0.311
Tb1 Tb 0.086 0.664 0.665
Y2 Y 0.485 0.689 0.340
Tb2 Tb 0.914 0.336 0.335
Y3 Y 0.515 0.311 0.660
Sc1 Sc 0.250 0.000 0.000
Sc2 Sc 0.750 0.000 0.000
Y4 Y 0.183 0.646 0.988
Tb3 Tb 0.414 0.335 0.336
Y5 Y 0.149 0.013 0.689
Y6 Y 0.317 0.012 0.354
Y7 Y 0.817 0.354 0.012
Y8 Y 0.985 0.340 0.689
Y9 Y 0.851 0.987 0.311
Y10 Y 0.649 0.689 0.013
Tb4 Tb 0.586 0.665 0.664
Y11 Y 0.351 0.311 0.987
Y12 Y 0.683 0.988 0.646
```

## Properties
DOS at the Fermi energy: 14.8 states/eV/f.u.


(B)
Density functional theory data (PBE) for an optimized crystal structure of Tb2Y6Sc.

Structure (CIF):
```
data_Tb2Y6Sc
_space_group_name_H-M_alt 'P 1'
_space_group_IT_number 1
_cell_length_a 3.580
_cell_length_b 3.580
_cell_length_c 25.860
_cell_angle_alpha 90.00
_cell_angle_beta 90.00
_cell_angle_gamma 120.00
loop_
_space_group_symop_operation_xyz
'x,y,z'
loop_
_atom_site_label
_atom_site_type_symbol
_atom_site_fract_x
_atom_site_fract_y
_atom_site_fract_z
Y1 Y 0.333 0.667 0.434
Tb1 Tb 0.667 0.333 0.674
Y2 Y 0.667 0.333 0.897
Sc1 Sc 0.333 0.667 0.000
Y3 Y 0.333 0.667 0.214
Y4 Y 0.333 0.667 0.566
Tb2 Tb 0.667 0.333 0.326
Y5 Y 0.333 0.667 0.786
Y6 Y 0.667 0.333 0.103
```

## Properties
DOS at the Fermi energy: 16.3 states/eV/f.u.


The least stable of them is (A).


(A)
Density functional theory data (PBE) for an optimized crystal structure of Tb2YSc4.

Structure (CIF):
```
data_Tb2YSc4
_space_group_name_H-M_alt 'P 1'
_space_group_IT_number 1
_cell_length_a 3.367
_cell_length_b 7.678
_cell_length_c 7.678
_cell_angle_alpha 87.94
_cell_angle_beta 90.00
_cell_angle_gamma 90.00
loop_
_space_group_symop_operation_xyz
'x,y,z'
loop_
_atom_site_label
_atom_site_type_symbol
_atom_site_fract_x
_atom_site_fract_y
_atom_site_fract_z
Tb1 Tb 0.000 0.805 0.195
Sc1 Sc 0.500 0.500 0.000
Sc2 Sc 0.000 0.772 0.772
Tb2 Tb 0.000 0.195 0.805
Y1 Y 0.500 0.500 0.500
Sc3 Sc 0.500 0.000 0.500
Sc4 Sc 0.000 0.228 0.228
```

## Properties
DOS at the Fermi energy: 11.6 states/eV/f.u.


(B)
Density functional theory data (PBE) for an optimized crystal structure of Tb2YSc4.

Structure (CIF):
```
data_Tb2YSc4
_space_group_name_H-M_alt 'P 1'
_space_group_IT_number 1
_cell_length_a 8.059
_cell_length_b 9.112
_cell_length_c 8.755
_cell_angle_alpha 138.22
_cell_angle_beta 114.32
_cell_angle_gamma 75.79
loop_
_space_group_symop_operation_xyz
'x,y,z'
loop_
_atom_site_label
_atom_site_type_symbol
_atom_site_fract_x
_atom_site_fract_y
_atom_site_fract_z
Sc1 Sc 0.543 0.681 0.885
Tb1 Tb 0.499 0.431 0.335
Tb2 Tb 0.642 0.140 0.468
Sc2 Sc 0.832 0.091 0.158
Sc3 Sc 0.208 0.997 0.044
Y1 Y 0.068 0.280 0.895
Y2 Y 0.108 0.540 0.462
Tb3 Tb 0.681 0.398 0.032
Sc4 Sc 0.919 0.587 0.771
Sc5 Sc 0.777 0.870 0.630
Tb4 Tb 0.253 0.247 0.594
Sc6 Sc 0.404 0.951 0.735
Sc7 Sc 0.972 0.810 0.298
Sc8 Sc 0.345 0.726 0.194
```

## Properties
DOS at the Fermi energy: 12.0 states/eV/f.u.


The least stable of them is (A).


(A)
Density functional theory data (PBE) for an optimized crystal structure of Tb5Y2Sc4.

Structure (CIF):
```
data_Tb5Y2Sc4
_space_group_name_H-M_alt 'P 1'
_space_group_IT_number 1
_cell_length_a 3.514
_cell_length_b 8.696
_cell_length_c 10.819
_cell_angle_alpha 84.96
_cell_angle_beta 90.00
_cell_angle_gamma 90.00
loop_
_space_group_symop_operation_xyz
'x,y,z'
loop_
_atom_site_label
_atom_site_type_symbol
_atom_site_fract_x
_atom_site_fract_y
_atom_site_fract_z
Y1 Y 0.000 0.075 0.363
Y2 Y 0.000 0.925 0.637
Tb1 Tb 0.000 0.500 0.000
Tb2 Tb 0.000 0.546 0.669
Sc1 Sc 0.500 0.800 0.873
Tb3 Tb 0.000 0.851 0.134
Sc2 Sc 0.500 0.750 0.428
Sc3 Sc 0.500 0.250 0.572
Sc4 Sc 0.500 0.200 0.127
Tb4 Tb 0.000 0.454 0.331
Tb5 Tb 0.000 0.149 0.866
```

## Properties
DOS at the Fermi energy: 16.7 states/eV/f.u.


(B)
Density functional theory data (PBE) for an optimized crystal structure of Tb5Y2Sc4.

Structure (CIF):
```
data_Tb5Y2Sc4
_space_group_name_H-M_alt 'P 1'
_space_group_IT_number 1
_cell_length_a 6.644
_cell_length_b 6.788
_cell_length_c 8.960
_cell_angle_alpha 80.65
_cell_angle_beta 68.24
_cell_angle_gamma 60.70
loop_
_space_group_symop_operation_xyz
'x,y,z'
loop_
_atom_site_label
_atom_site_type_symbol
_atom_site_fract_x
_atom_site_fract_y
_atom_site_fract_z
Tb1 Tb 0.238 0.151 0.833
Tb2 Tb 0.762 0.849 0.167
Y1 Y 0.689 0.387 0.234
Sc1 Sc 0.728 0.677 0.868
Y2 Y 0.311 0.613 0.766
Sc2 Sc 0.714 0.045 0.527
Tb3 Tb 0.778 0.151 0.833
Sc3 Sc 0.272 0.323 0.132
Tb4 Tb 0.000 0.500 0.500
Tb5 Tb 0.222 0.849 0.167
Sc4 Sc 0.286 0.955 0.473
```

## Properties
DOS at the Fermi energy: 17.5 states/eV/f.u.


The least stable of them is (B).


(A)
Density functional theory data (PBE) for an optimized crystal structure of Tb4Y2Sc.

Structure (CIF):
```
data_Tb4Y2Sc
_space_group_name_H-M_alt 'P 1'
_space_group_IT_number 1
_cell_length_a 6.157
_cell_length_b 6.480
_cell_length_c 11.331
_cell_angle_alpha 90.00
_cell_angle_beta 105.44
_cell_angle_gamma 90.00
loop_
_space_group_symop_operation_xyz
'x,y,z'
loop_
_atom_site_label
_atom_site_type_symbol
_atom_site_fract_x
_atom_site_fract_y
_atom_site_fract_z
Tb1 Tb 0.649 0.993 0.285
Tb2 Tb 0.351 0.007 0.715
Tb3 Tb 0.856 0.250 0.556
Sc1 Sc 0.158 0.750 0.165
Tb4 Tb 0.351 0.493 0.715
Y1 Y 0.288 0.250 0.420
Y2 Y 0.380 0.250 0.003
Tb5 Tb 0.046 0.750 0.870
Tb6 Tb 0.649 0.507 0.285
Tb7 Tb 0.954 0.250 0.130
Sc2 Sc 0.842 0.250 0.835
Y3 Y 0.712 0.750 0.580
Y4 Y 0.620 0.750 0.997
Tb8 Tb 0.144 0.750 0.444
```

## Properties
DOS at the Fermi energy: 11.7 states/eV/f.u.


(B)
Density functional theory data (PBE) for an optimized crystal structure of Tb4Y2Sc.

Structure (CIF):
```
data_Tb4Y2Sc
_space_group_name_H-M_alt 'P 1'
_space_group_IT_number 1
_cell_length_a 5.502
_cell_length_b 12.133
_cell_length_c 13.260
_cell_angle_alpha 90.00
_cell_angle_beta 90.00
_cell_angle_gamma 90.00
loop_
_space_group_symop_operation_xyz
'x,y,z'
loop_
_atom_site_label
_atom_site_type_symbol
_atom_site_fract_x
_atom_site_fract_y
_atom_site_fract_z
Y1 Y 0.000 0.068 0.155
Tb1 Tb 0.498 0.145 0.821
Y2 Y 0.500 0.568 0.155
Tb2 Tb 0.498 0.245 0.575
Tb3 Tb 0.498 0.255 0.075
Tb4 Tb 0.998 0.255 0.425
Tb5 Tb 0.502 0.745 0.925
Tb6 Tb 0.002 0.855 0.321
Y3 Y 0.000 0.568 0.345
Tb7 Tb 0.502 0.645 0.679
Tb8 Tb 0.998 0.145 0.679
Y4 Y 0.500 0.932 0.655
Y5 Y 0.000 0.932 0.845
Tb9 Tb 0.998 0.355 0.179
Sc1 Sc 0.500 0.000 0.000
Sc2 Sc 0.500 0.500 0.500
Sc3 Sc 0.000 0.000 0.500
Tb10 Tb 0.002 0.645 0.821
Tb11 Tb 0.998 0.245 0.925
Tb12 Tb 0.002 0.745 0.575
Y6 Y 0.000 0.432 0.655
Y7 Y 0.500 0.432 0.845
Sc4 Sc 0.000 0.500 0.000
Tb13 Tb 0.002 0.755 0.075
Tb14 Tb 0.502 0.755 0.425
Tb15 Tb 0.502 0.855 0.179
Tb16 Tb 0.498 0.355 0.321
Y8 Y 0.500 0.068 0.345
```

## Properties
DOS at the Fermi energy: 10.7 states/eV/f.u.


The least stable of them is (B).